# TaCd2CoO6 GGA+U relaxed
data_TaCd2CoO6
_space_group_name_H-M_alt 'P 1 21/c 1'
_space_group_IT_number 14
_cell_length_a 5.367
_cell_length_b 5.460
_cell_length_c 9.357
_cell_angle_alpha 90.00
_cell_angle_beta 124.90
_cell_angle_gamma 90.00
loop_
_space_group_symop_operation_xyz
'x,y,z'
'-x,-y,-z'
'-x,y+1/2,-z+1/2'
'x,-y+1/2,z+1/2'
loop_
_atom_site_label
_atom_site_fract_x
_atom_site_fract_y
_atom_site_fract_z
Ta1 0.000 0.000 0.000
Cd1 0.259 0.038 0.750
Co1 0.500 0.000 0.500
O1 0.164 0.026 0.254
O2 0.257 0.703 0.048
O3 0.346 0.210 0.046
# - density of states at the Fermi level (states/eV/f.u.) = 0.00
# - size of the total moment (μB/f.u.) = 0.0
# - raw total energy (eV/atom) = -6.452